Computed, not measured: a relaxed CeSm2Se crystal at the PBE level of DFT.

Cell and atoms, written as extended XYZ:
```
4
Lattice="3.839 0.000 0.000 1.920 3.325 0.000 1.920 1.108 9.670" Properties=species:S:1:pos:R:3 pbc="T T T"
Ce 3.839 2.216 4.847
Sm 1.920 1.108 7.752
Sm 1.920 1.108 1.913
Se 5.759 3.325 9.663
```

Values from the calculation:
The theoretical density comes out at 6.99 g/cm3. The space-group type is R3m. The uncorrected formation energy comes out at -0.721 eV/atom. The distance to the lowest polymorph of the same formula is 0.0000 eV per atom. The calculation puts the calculated volume at 30.856 Å³ per atom. The calculation puts the size of the total moment at 0.44 μB per atom.

***

Computed, not measured: a relaxed CeSm2Se5 crystal at the PBE level of DFT.

Cell and atoms, written as extended XYZ:
```
16
Lattice="-0.628 5.417 -5.498 -5.932 3.190 3.821 7.486 -0.452 4.153" Properties=species:S:1:pos:R:3 pbc="T T T"
Ce -1.177 6.229 0.819
Ce 2.103 1.926 1.657
Sm -2.144 1.940 0.466
Sm -1.331 4.042 -3.009
Sm -5.229 4.564 1.332
Sm -4.416 6.667 -2.143
Se 0.810 4.639 2.761
Se -4.146 7.407 0.602
Se 0.000 0.000 0.000
Se -3.280 4.303 -0.839
Se 5.072 0.748 1.874
Se 3.659 4.047 -0.167
Se 2.222 1.340 4.802
Se -2.734 4.108 2.643
Se -1.297 6.815 -2.327
Se 0.116 3.516 -0.285
```

Values from the calculation:
The theoretical density comes out at 7.02 g/cm3. The space-group type is I4/mcm. The uncorrected formation energy comes out at -1.672 eV/atom. The calculation puts the calculated volume at 24.718 Å³ per atom. The calculation puts the size of the total moment at 0.03 μB per atom.

***

Computed, not measured: a relaxed Ce3Sm2Se8 crystal at the PBE level of DFT.

Cell and atoms, written as extended XYZ:
```
13
Lattice="-4.640 -1.754 0.689 3.028 -4.701 8.421 -3.138 8.147 -0.389" Properties=species:S:1:pos:R:3 pbc="T T T"
Ce -2.320 -0.877 0.345
Ce -2.305 6.855 1.925
Ce 2.195 -3.409 6.106
Sm -3.193 2.240 2.400
Sm -1.557 -0.548 6.321
Se 1.097 -0.862 5.191
Se -5.847 2.554 3.529
Se -0.379 1.352 0.891
Se 0.269 2.094 7.140
Se -2.750 2.254 5.420
Se -4.333 4.711 1.017
Se -0.417 -3.019 7.703
Se -2.000 -0.562 3.301
```

Values from the calculation:
The theoretical density comes out at 6.22 g/cm3. The space-group type is Cmmm. The uncorrected formation energy comes out at -1.688 eV/atom. The distance to the lowest polymorph of the same formula is 0.0470 eV per atom. The calculation puts the calculated volume at 27.767 Å³ per atom. The calculation puts the size of the total moment at 0.16 μB per atom.

***

Computed, not measured: a relaxed Ce6SmSe12 crystal at the PBE level of DFT.

Cell and atoms, written as extended XYZ:
```
19
Lattice="-6.655 3.619 -3.716 2.532 -5.107 -6.221 -3.957 -5.583 4.937" Properties=species:S:1:pos:R:3 pbc="T T T"
Ce -2.593 -4.533 0.669
Ce -7.090 -4.240 -0.674
Ce -3.084 -6.927 -3.348
Ce -5.488 -2.538 -5.669
Ce -0.991 -2.831 -4.327
Ce -4.997 -0.145 -1.652
Sm 0.000 0.000 0.000
Se -4.697 -2.573 0.149
Se -1.420 -4.708 -2.128
Se -3.455 -1.096 -3.945
Se -3.384 -4.499 -5.150
Se -6.661 -2.364 -2.873
Se -4.626 -5.975 -1.056
Se -0.650 -8.319 -2.691
Se -0.057 -4.017 -6.780
Se -3.357 -6.722 2.378
Se -7.431 1.248 -2.309
Se -8.024 -3.055 1.779
Se -4.724 -0.350 -7.379
```

Values from the calculation:
The theoretical density comes out at 5.64 g/cm3. The space-group type is R-3. The uncorrected formation energy comes out at -1.725 eV/atom. The calculation puts the calculated volume at 30.025 Å³ per atom. The calculation puts the size of the total moment at 0.16 μB per atom.

***

Computed, not measured: a relaxed Ce2Sm3Se8 crystal at the PBE level of DFT.

Cell and atoms, written as extended XYZ:
```
13
Lattice="-3.434 -3.209 -1.602 1.692 2.954 -9.548 4.169 -6.510 4.106" Properties=species:S:1:pos:R:3 pbc="T T T"
Ce 0.927 -4.258 -1.154
Ce 1.500 -2.507 -5.891
Sm -1.717 -1.605 -0.801
Sm 4.643 -5.681 1.427
Sm 1.218 2.125 -6.869
Se 2.139 0.179 -4.946
Se 0.288 -6.944 -2.098
Se -2.233 -4.415 -1.762
Se 4.660 -2.350 -5.282
Se 2.492 -4.622 -3.778
Se 1.614 -6.154 1.172
Se 0.813 -0.611 -8.216
Se -0.065 -2.143 -3.266
```

Values from the calculation:
The theoretical density comes out at 6.30 g/cm3. The space-group type is Cmmm. The uncorrected formation energy comes out at -1.675 eV/atom. The distance to the lowest polymorph of the same formula is 0.0680 eV per atom. The calculation puts the calculated volume at 27.631 Å³ per atom. The calculation puts the size of the total moment at 0.09 μB per atom.

***

Computed, not measured: a relaxed Ce5SmSe6 crystal at the PBE level of DFT.

Cell and atoms, written as extended XYZ:
```
12
Lattice="-4.908 4.452 2.980 -4.643 -3.861 4.039 1.411 -1.172 7.035" Properties=species:S:1:pos:R:3 pbc="T T T"
Ce -2.289 0.801 6.850
Ce -1.079 -1.678 3.690
Ce -4.776 0.296 3.509
Ce -2.153 -3.355 7.385
Ce -5.851 -1.381 7.204
Sm 0.000 0.000 0.000
Se -3.604 2.636 4.909
Se -3.469 -1.541 5.440
Se -2.379 0.150 1.748
Se -7.172 0.441 5.271
Se -4.670 0.960 8.614
Se -4.536 -3.216 9.146
```

Values from the calculation:
The theoretical density comes out at 7.02 g/cm3. The space-group type is C2/m. The uncorrected formation energy comes out at -1.822 eV/atom. The calculation puts the calculated volume at 26.110 Å³ per atom. The calculation puts the size of the total moment at 0.38 μB per atom.

***

Among the records above, which one has the highest calculated volume?
CeSm2Se